This record from Alexandria via LeMat-Bulk describes a geometry-optimized SnPt2Pb structure. The functional is PBE.

## Properties
- Energy of formation: -0.0025 eV/atom
- Raw total energy: -4.951 eV/atom

Unit cell a=6.0776 b=6.0776 c=7.5874 alpha=66.39 beta=66.39 gamma=90.00
Last column: nearest neighbours and their distance in Å.
Element x y z (fractional)
1 Pb 0.0000 0.0000 0.0000  4 Pt 2.71
2 Pb 0.7500 0.2500 0.5000  4 Pt 2.71
3 Sn 0.5000 0.5000 0.0000  4 Pt 2.61
4 Sn 0.2500 0.7500 0.5000  4 Pt 2.61
5 Pt 0.6097 0.1250 0.2500  2 Sn 2.61, 2 Pb 2.71
6 Pt 0.1403 0.6250 0.2500  2 Sn 2.61, 2 Pb 2.71
7 Pt 0.3750 0.3903 0.7500  2 Sn 2.61, 2 Pb 2.71
8 Pt 0.8750 0.8597 0.7500  2 Sn 2.61, 2 Pb 2.71



This record from Alexandria via LeMat-Bulk describes a geometry-optimized Ta3SiIr structure. The functional is PBE.

## Properties
- Energy relative to the elements, uncorrected: 783 meV/atom
- Raw total energy: -9.186 eV/atom
- E above lowest polymorph: 0 meV/atom

Unit cell a=4.5556 b=4.5556 c=4.5556 alpha=90.00 beta=90.00 gamma=90.00
Last column: nearest neighbours and their distance in Å.
Element x y z (fractional)
1 Si 0.0000 0.0000 0.0000  6 Ta 2.28
2 Ir 0.5000 0.5000 0.5000  12 Ta 3.22
3 Ta 0.0000 0.5000 0.0000  2 Si 2.28
4 Ta 0.0000 0.0000 0.5000  2 Si 2.28
5 Ta 0.5000 0.0000 0.0000  2 Si 2.28



Copy entry 2 word for word.
This record from Alexandria via LeMat-Bulk describes a geometry-optimized Ta3SiIr structure. The functional is PBE.

## Properties
- Energy relative to the elements, uncorrected: 783 meV/atom
- Raw total energy: -9.186 eV/atom
- E above lowest polymorph: 0 meV/atom

Unit cell a=4.5556 b=4.5556 c=4.5556 alpha=90.00 beta=90.00 gamma=90.00
Last column: nearest neighbours and their distance in Å.
Element x y z (fractional)
1 Si 0.0000 0.0000 0.0000  6 Ta 2.28
2 Ir 0.5000 0.5000 0.5000  12 Ta 3.22
3 Ta 0.0000 0.5000 0.0000  2 Si 2.28
4 Ta 0.0000 0.0000 0.5000  2 Si 2.28
5 Ta 0.5000 0.0000 0.0000  2 Si 2.28



The highest raw total energy belongs to which entry? SnPt2Pb



Which value of raw total energy does entry 1 give? -4.951 eV/atom